Na3Ti10S20: relaxed, PBE.

a b c (Å): 9.068 9.068 13.415
angles (deg): 92.76 92.76 141.74
Fractional coordinates of all 33 atoms:
Na 0.000 0.000 0.000
Na 0.175 0.554 0.003
Na 0.554 0.175 0.003
Ti 0.059 0.460 0.732
Ti 0.103 0.103 0.272
Ti 0.261 0.261 0.732
Ti 0.308 0.908 0.271
Ti 0.460 0.059 0.732
Ti 0.508 0.707 0.270
Ti 0.659 0.857 0.733
Ti 0.707 0.508 0.270
Ti 0.857 0.659 0.733
Ti 0.908 0.308 0.271
S 0.029 0.228 0.843
S 0.075 0.874 0.376
S 0.091 0.691 0.628
S 0.136 0.335 0.160
S 0.228 0.029 0.843
S 0.275 0.675 0.375
S 0.291 0.491 0.627
S 0.335 0.136 0.160
S 0.432 0.832 0.844
S 0.475 0.475 0.376
S 0.491 0.291 0.627
S 0.539 0.940 0.159
S 0.626 0.626 0.843
S 0.675 0.275 0.375
S 0.691 0.091 0.628
S 0.734 0.734 0.160
S 0.832 0.432 0.844
S 0.874 0.075 0.376
S 0.892 0.892 0.627
S 0.940 0.539 0.159

For the formation energy from raw total energies, the calculation gives -1.34 eV/atom. As for the volume: 20.47 Å³/atom.

Na2Ti2S: relaxed, PBE.

a b c (Å): 9.806 9.806 9.806
angles (deg): 159.17 159.17 29.63
Fractional coordinates of all 5 atoms:
Na 0.078 0.078 0.000
Na 0.922 0.922 0.000
Ti 0.250 0.750 0.500
Ti 0.750 0.250 0.500
S 0.500 0.500 0.000

For the formation energy from raw total energies, the calculation gives 0.25 eV/atom. As for the volume: 23.83 Å³/atom. The value obtained for the energy above the most stable polymorph in this dataset is 0.0000 eV per atom.

NaTi3S: relaxed, PBE.

a b c (Å): 4.607 4.607 4.607
angles (deg): 90.00 90.00 90.00
Fractional coordinates of all 5 atoms:
Na 0.000 0.000 0.000
Ti 0.000 0.500 0.500
Ti 0.500 0.000 0.500
Ti 0.500 0.500 0.000
S 0.500 0.500 0.500

For the formation energy from raw total energies, the calculation gives -0.07 eV/atom. As for the volume: 19.55 Å³/atom. The value obtained for the energy above the most stable polymorph in this dataset is 0.0000 eV per atom.

NaTi2S3: relaxed, PBE.

a b c (Å): 6.956 6.956 9.492
angles (deg): 90.00 90.00 149.51
Fractional coordinates of all 12 atoms:
Na 0.246 0.754 0.750
Na 0.754 0.246 0.250
Ti 0.000 0.000 0.000
Ti 0.000 0.000 0.500
Ti 0.476 0.524 0.250
Ti 0.524 0.476 0.750
S 0.085 0.915 0.250
S 0.375 0.625 0.053
S 0.375 0.625 0.447
S 0.625 0.375 0.553
S 0.625 0.375 0.947
S 0.915 0.085 0.750

For the formation energy from raw total energies, the calculation gives -1.27 eV/atom. As for the volume: 19.41 Å³/atom.

NaTi5S8: relaxed, PBE.

a b c (Å): 8.999 8.999 8.869
angles (deg): 105.03 105.03 21.89
Fractional coordinates of all 14 atoms:
Na 0.000 0.000 0.000
Ti 0.163 0.163 0.491
Ti 0.210 0.210 0.853
Ti 0.502 0.502 0.502
Ti 0.794 0.794 0.151
Ti 0.841 0.841 0.513
S 0.079 0.079 0.667
S 0.259 0.259 0.333
S 0.343 0.343 0.008
S 0.417 0.417 0.683
S 0.586 0.586 0.321
S 0.661 0.661 0.997
S 0.744 0.744 0.671
S 0.925 0.925 0.337

For the formation energy from raw total energies, the calculation gives -1.40 eV/atom. As for the volume: 18.45 Å³/atom.

Na2Ti2S5: relaxed, PBE.

a b c (Å): 8.619 7.678 6.113
angles (deg): 76.43 59.99 43.59
Fractional coordinates of all 9 atoms:
Na 0.199 0.199 0.801
Na 0.801 0.801 0.199
Ti 0.217 0.783 0.217
Ti 0.783 0.217 0.783
S 0.000 0.000 0.000
S 0.122 0.122 0.378
S 0.378 0.378 0.122
S 0.622 0.622 0.878
S 0.878 0.878 0.622

For the formation energy from raw total energies, the calculation gives -1.08 eV/atom. As for the volume: 26.22 Å³/atom.